# 1
A geometry-optimized Sc3Al structure, computed with PBE-GGA.

The structure in POSCAR format:
```
Sc3Al
1.0
6.276 0.000 0.000
-3.138 5.435 0.000
0.000 0.000 10.182
Al Sc
4 12
Cartesian
0.000 0.000 0.000
0.000 0.000 5.091
0.000 3.623 2.546
3.138 1.812 7.637
3.138 0.000 0.000
3.138 0.000 5.091
-1.569 2.717 0.000
1.569 2.717 0.000
1.569 2.717 5.091
-1.569 2.717 5.091
3.138 3.665 2.546
0.000 1.770 7.637
1.533 0.885 2.546
4.743 0.885 2.546
-1.605 4.550 7.637
1.605 4.550 7.637
```

Results
E = -95.1 eV/cell

=====

# 2
A geometry-optimized ScAl2 structure, computed with PBE-GGA.

The structure in POSCAR format:
```
ScAl2
1.0
6.687 0.000 0.000
0.000 6.687 0.000
0.000 0.000 6.687
Sc Al
4 8
Cartesian
0.000 0.000 0.000
3.344 3.344 0.000
3.344 0.000 3.344
0.000 3.344 3.344
4.122 4.122 2.565
2.565 2.565 4.122
0.779 5.909 4.122
5.909 0.779 2.565
2.565 0.779 0.779
4.122 5.909 5.909
5.909 2.565 5.909
0.779 4.122 0.779
```

Results
E = -47.6 eV/cell

=====

# 3
A geometry-optimized Sc3Al structure, computed with PBE-GGA.

The structure in POSCAR format:
```
Sc3Al
1.0
3.151 -5.457 0.000
3.151 5.457 0.000
0.000 0.000 5.041
Sc Al
6 2
Cartesian
3.151 -3.587 3.781
1.619 -0.935 3.781
4.682 -0.935 3.781
3.151 3.587 1.260
4.682 0.935 1.260
1.619 0.935 1.260
3.151 -1.819 1.260
3.151 1.819 3.781
```

Results
E = -47.6 eV/cell

=====

# 4
A geometry-optimized ScAl4 structure, computed with PBE-GGA.

The structure in POSCAR format:
```
ScAl4
1.0
-0.253 -5.105 1.305
4.085 0.635 3.276
-3.327 1.167 3.923
Sc Al
1 4
Cartesian
0.253 -1.651 4.252
0.000 0.000 0.000
-1.790 -1.969 2.614
0.379 0.901 3.599
1.916 -2.235 2.290
```

Results
Excess energy over the best structure of this formula in the dataset = 1.145 eV per atom
E = -16.1 eV/cell

=====

# 5
A geometry-optimized ScAl3 structure, computed with PBE-GGA.

The structure in POSCAR format:
```
ScAl3
1.0
4.102 0.000 0.000
0.000 4.102 0.000
0.000 0.000 4.102
Sc Al
1 3
Cartesian
0.000 0.000 0.000
0.000 2.051 2.051
2.051 0.000 2.051
2.051 2.051 0.000
```

Results
E = -19.4 eV/cell

=====

# 6
A geometry-optimized Sc3Al5 structure, computed with PBE-GGA.

The structure in POSCAR format:
```
Sc3Al5
1.0
-0.477 -0.210 3.111
2.342 -2.102 0.217
9.840 11.194 2.266
Sc Al
3 5
Cartesian
4.920 5.597 1.133
2.225 0.315 1.962
9.479 8.566 3.633
0.000 0.000 0.000
2.580 2.935 0.594
7.260 8.259 1.672
4.564 2.975 2.501
7.141 5.906 3.094
```

Results
Excess energy over the best structure of this formula in the dataset = 0.135 eV per atom
E = -40.1 eV/cell

=====

Which formula does entry 1 have?
Sc3Al

=====

Number 3 is which compound?
Sc3Al

=====

What is the formula in the first record?
Sc3Al